Here is a geometry-optimized K2ClF2 structure from Alexandria via LeMat-Bulk. Energies are from PBE-GGA.

The structure in POSCAR format:
```
K2ClF2
1.0
-2.6306 2.6306 4.5773
2.6306 -2.6306 4.5773
2.6306 2.6306 -4.5773
K Cl F
2 1 2
Direct
0.2500 0.7500 0.5000 K
0.7500 0.2500 0.5000 K
0.0000 0.0000 0.0000 Cl
0.2756 0.2756 0.0000 F
0.7244 0.7244 0.0000 F
```

Computed properties:
E_form (uncorrected) (meV/atom): -1999
VASP energy (eV/atom): -3.56
Total magnetic moment (μB/cell): 1.00
SG: I4/mmm